# 1
# RbSr2BiOs meta-GGA SCAN PBEsol geometry
# - Formation enthalpy at 0 K: 923 kJ/mol of formula units
data_RbSr2BiOs
_cell_length_a 5.9232
_cell_length_b 5.9232
_cell_length_c 5.7239
_cell_angle_alpha 90.00
_cell_angle_beta 90.00
_cell_angle_gamma 90.00
_space_group_name_H-M_alt 'P 4/m m m'
_space_group_IT_number 123
_space_group_name_Hall '-P 4 2'
loop_
_atom_site_label
_atom_site_type_symbol
_atom_site_fract_x
_atom_site_fract_y
_atom_site_fract_z
Rb1 Rb 0.0000 0.0000 0.0000
Sr1 Sr 0.0000 0.5000 0.0000
Bi1 Bi 0.0000 0.0000 0.5000
Os1 Os 0.5000 0.5000 0.5000



# 2
# Tl2ReBiOs meta-GGA SCAN PBEsol geometry
# - Formation enthalpy at 0 K: 569 kJ/mol of formula units
data_Tl2ReBiOs
_cell_length_a 5.1599
_cell_length_b 5.1599
_cell_length_c 4.8064
_cell_angle_alpha 90.00
_cell_angle_beta 90.00
_cell_angle_gamma 90.00
_space_group_name_H-M_alt 'P 4/m m m'
_space_group_IT_number 123
_space_group_name_Hall '-P 4 2'
loop_
_atom_site_label
_atom_site_type_symbol
_atom_site_fract_x
_atom_site_fract_y
_atom_site_fract_z
Tl1 Tl 0.0000 0.5000 0.0000
Re1 Re 0.0000 0.0000 0.5000
Bi1 Bi 0.5000 0.5000 0.5000
Os1 Os 0.0000 0.0000 0.0000



Number 1: VASP energy -41.236 eV per atom. Number 2: VASP energy -72.076 eV per atom.